# RbNiO2 GGA+U optimized geometry
data_RbNiO2
_symmetry_space_group_name_H-M 'P 1'
_symmetry_Int_Tables_number 1
_cell_length_a 4.1186
_cell_length_b 5.9829
_cell_length_c 7.5631
_cell_angle_alpha 113.21
_cell_angle_beta 105.03
_cell_angle_gamma 90.04
loop_
_symmetry_equiv_pos_as_xyz
'x,y,z'
loop_
_atom_site_label
_atom_site_type_symbol
_atom_site_fract_x
_atom_site_fract_y
_atom_site_fract_z
Rb1 Rb 0.0000 0.0000 0.0000
Rb2 Rb 0.3146 0.6902 0.3802
Ni1 Ni 0.4946 0.4436 0.8380
Ni2 Ni 0.8179 0.2958 0.5427
O1 O 0.1561 0.5518 0.6902
O2 O 0.6333 0.2130 0.2949
O3 O 0.6556 0.1632 0.6904
O4 O 0.6808 0.6087 0.0854
# * magnetic moment: 6.00 μB per cell
# * ρ: 3.561 g/cm3
# * E: -4.17 eV per atom